Material: Li3ZnCr3O8
Method: DFT, PBE+U
State: optimized geometry

Symmetry = No. 12
Uncorrected energy = -6.36 eV per atom

Cell lengths 5.9198, 5.9198, 5.9330 Å; angles 119.93, 119.93, 60.00 degrees
Fractional coordinates of all 15 atoms:
Li  0.0000  0.0000  0.0000
Li  0.0000  0.5000  0.0000
Li  0.5000  0.0000  0.0000
Zn  0.0000  0.0000  0.5000
Cr  0.0000  0.5000  0.5000
Cr  0.5000  0.0000  0.5000
Cr  0.5000  0.5000  0.5000
O  0.2431  0.7290  0.7166
O  0.2447  0.2447  0.7168
O  0.2570  0.2570  0.2711
O  0.2710  0.7569  0.2834
O  0.7290  0.2431  0.7166
O  0.7430  0.7430  0.7289
O  0.7553  0.7553  0.2832
O  0.7569  0.2710  0.2834